Computed, not measured: Cs2IrO3 after structural relaxation at the PBE level of DFT.

abc: 6.9289 6.9289 8.3927
angles: 90.00 90.00 120.00
Fractional coordinates of all 12 atoms:
Cs  0.0000  0.0000  0.5000
Cs  0.6667  0.3333  0.2492
O  0.1820  0.8180  0.2498
O  0.6360  0.8180  0.2498
Cs  0.3333  0.6667  0.7508
O  0.8180  0.1820  0.7502
O  0.3640  0.1820  0.7502
Cs  0.0000  0.0000  0.0000
O  0.8180  0.6360  0.7502
O  0.1820  0.3640  0.2498
Ir  0.6667  0.3333  0.7503
Ir  0.3333  0.6667  0.2497

- Crystal system: trigonal
- Formation energy without anion corrections: -1.099 eV per atom

=====

Computed, not measured: DyTm2Co after structural relaxation at the PBE level of DFT.

abc: 3.7175 3.7175 9.0791
angles: 78.19 78.19 60.00
Fractional coordinates of all 4 atoms:
Co  0.6661  0.6661  0.0016
Tm  0.0564  0.0564  0.8308
Dy  0.5015  0.5015  0.4956
Tm  0.2760  0.2760  0.1721

- Crystal system: trigonal
- E_form: -19 meV per atom

=====

Computed, not measured: Ac3Tb2PrS6 after structural relaxation at the PBE level of DFT.

abc: 7.1246 7.1246 7.2843
angles: 99.41 99.41 120.11
Fractional coordinates of all 12 atoms:
Pr  0.0000  0.0000  0.0000
Ac  0.1634  0.8366  0.5000
S  0.0757  0.4187  0.2274
Ac  0.8366  0.1634  0.5000
S  0.7314  0.7314  0.2238
S  0.9243  0.5813  0.7726
S  0.2686  0.2686  0.7762
Tb  0.6668  0.3332  0.0000
S  0.5813  0.9243  0.7726
Ac  0.5000  0.5000  0.5000
Tb  0.3332  0.6668  0.0000
S  0.4187  0.0757  0.2274

- Crystal system: monoclinic
- Formation energy without anion corrections: -1.999 eV per atom

=====

Computed, not measured: MnPS after structural relaxation at the PBE level of DFT.

abc: 5.6282 5.6672 5.6672
angles: 119.12 90.00 90.00
Fractional coordinates of all 12 atoms:
P  0.3658  0.3386  0.4115
P  0.8658  0.1614  0.0885
S  0.1317  0.3365  0.9135
P  0.8659  0.6615  0.5885
Mn  0.0043  0.2461  0.5039
S  0.6317  0.1635  0.5866
S  0.6317  0.6634  0.0866
Mn  0.5043  0.2539  0.9961
Mn  0.0044  0.7461  0.0039
S  0.1317  0.8366  0.4134
P  0.3659  0.8385  0.9115
Mn  0.5044  0.7539  0.4961

- Crystal system: orthorhombic
- Formation energy without anion corrections: -0.508 eV per atom

=====

Computed, not measured: Tb7Nd3Y after structural relaxation at the PBE level of DFT.

abc: 5.5744 10.1121 8.9619
angles: 106.11 128.45 90.00
Fractional coordinates of all 11 atoms:
Tb  0.5000  0.0000  0.5000
Nd  0.7168  0.9983  0.2165
Tb  0.0895  0.1706  0.0898
Tb  0.3158  0.6376  0.8156
Tb  0.6842  0.3624  0.1844
Nd  0.0000  0.5000  0.0000
Y  0.5000  0.5000  0.5000
Tb  0.8562  0.7106  0.3563
Tb  0.9105  0.8294  0.9102
Tb  0.1438  0.2894  0.6437
Nd  0.2832  0.0017  0.7835

- Crystal system: monoclinic
- E_form: 137 meV per atom

=====

Computed, not measured: Cd2InHg after structural relaxation at the PBE level of DFT.

abc: 11.1429 11.1429 11.1429
angles: 16.60 16.60 16.60
Fractional coordinates of all 4 atoms:
In  0.7500  0.7500  0.7500
Cd  0.0014  0.0014  0.0014
Hg  0.2500  0.2500  0.2500
Cd  0.4986  0.4986  0.4986

- Crystal system: trigonal
- E_form: 26 meV per atom

=====

Computed, not measured: Tb2ScAgTe5 after structural relaxation at the PBE level of DFT.

abc: 4.2733 9.4831 13.0532
angles: 90.00 90.00 103.02
Fractional coordinates of all 18 atoms:
Te  0.3520  0.7041  0.9994
Tb  0.1276  0.2551  0.3027
Sc  0.8107  0.6213  0.5107
Te  0.4976  0.9952  0.7799
Tb  0.1121  0.2242  0.6867
Tb  0.8879  0.7758  0.1867
Te  0.5024  0.0048  0.2799
Te  0.0434  0.0868  0.0792
Te  0.3027  0.6054  0.3424
Te  0.6973  0.3946  0.8424
Ag  0.5713  0.1427  0.9598
Ag  0.4287  0.8573  0.4598
Tb  0.8724  0.7449  0.8027
Te  0.9566  0.9132  0.5792
Te  0.2850  0.5701  0.6632
Sc  0.1893  0.3787  0.0107
Te  0.6480  0.2959  0.4994
Te  0.7150  0.4299  0.1632

- Crystal system: orthorhombic
- Formation energy without anion corrections: -1.065 eV per atom

=====

Computed, not measured: DyZrFe after structural relaxation at the PBE level of DFT.

abc: 6.2240 7.0854 6.5169
angles: 90.00 90.00 116.05
Fractional coordinates of all 12 atoms:
Dy  0.1959  0.3918  0.6037
Fe  0.3958  0.7916  0.4653
Fe  0.8958  0.7916  0.0347
Zr  0.7777  0.0553  0.2500
Zr  0.7223  0.9447  0.7500
Zr  0.2223  0.9447  0.7500
Dy  0.3041  0.6082  0.1037
Zr  0.2777  0.0553  0.2500
Dy  0.8041  0.6082  0.3963
Dy  0.6959  0.3918  0.8963
Fe  0.1042  0.2084  0.9653
Fe  0.6042  0.2084  0.5347

- Crystal system: orthorhombic
- E_form: 23 meV per atom

=====

What did the second record say?
Computed, not measured: DyTm2Co after structural relaxation at the PBE level of DFT.

abc: 3.7175 3.7175 9.0791
angles: 78.19 78.19 60.00
Fractional coordinates of all 4 atoms:
Co  0.6661  0.6661  0.0016
Tm  0.0564  0.0564  0.8308
Dy  0.5015  0.5015  0.4956
Tm  0.2760  0.2760  0.1721

- Crystal system: trigonal
- E_form: -19 meV per atom